# SrLi2CrO4, relaxed, DFT PBE+U
data_SrLi2CrO4
_chemical_formula_sum 'Sr2 Li4 Cr2 O8'
_cell_length_a 5.343
_cell_length_b 5.343
_cell_length_c 6.869
_cell_angle_alpha 90.00
_cell_angle_beta 90.00
_cell_angle_gamma 90.00
_space_group_name_H-M_alt 'I -4 2 m'
_space_group_IT_number 121
_space_group_name_Hall 'I -4 2'
loop_
_atom_site_label
_atom_site_fract_x
_atom_site_fract_y
_atom_site_fract_z
_atom_site_occupancy
Sr1 0.000 0.000 0.000 1
Li1 0.000 0.500 0.250 1
Cr1 0.000 0.000 0.500 1
O1 0.196 0.196 0.348 1
# raw total energy	-6.22	eV/atom
# size of the total moment	4.0	Bohr magnetons per cell